Li2ScCd, optimized geometry, DFT PBE; energy relative to the elements = -0.044 eV/atom; VASP energy = -2.812 eV/atom; excess energy over the best structure of this formula in the dataset = 36.2 meV per atom; total magnetic moment = 0.00 μB/atom
1.0
-4.117 2.880 0.065
-1.775 -2.532 -0.235
-0.196 -0.400 5.327
Cd Li Sc
1 2 1
direct
0.500 0.876 0.708 Cd
0.000 0.877 0.045 Li
0.500 0.368 0.183 Li
0.000 0.379 0.564 Sc